(P)
Compound: KMg4Tl8
Source: the Alexandria database
Functional: PBE-GGA
Structure: optimized geometry

abc: 9.336 9.336 9.336
angles: 46.98 46.98 46.98
Fractional positions:
Mg (0.000, 0.500, 0.500)
Mg (0.500, 0.500, 0.000)
Mg (0.500, 0.500, 0.500)
Mg (0.500, 0.000, 0.500)
Tl (0.196, 0.745, 0.745)
Tl (0.745, 0.196, 0.745)
Tl (0.227, 0.227, 0.227)
Tl (0.773, 0.773, 0.773)
Tl (0.804, 0.255, 0.255)
Tl (0.745, 0.745, 0.196)
Tl (0.255, 0.804, 0.255)
Tl (0.255, 0.255, 0.804)
K (0.000, 0.000, 0.000)

(Q)
Compound: KMg4Tl8
Source: the Alexandria database
Functional: PBE-GGA
Structure: optimized geometry

abc: 6.344 8.283 8.283
angles: 81.57 67.48 67.48
Fractional positions:
Mg (0.000, 0.000, 0.500)
Mg (0.500, 0.000, 0.500)
Mg (0.500, 0.500, 0.000)
Mg (0.000, 0.500, 0.000)
Tl (0.000, 0.654, 0.346)
Tl (0.720, 0.780, 0.780)
Tl (0.654, 0.346, 0.346)
Tl (0.280, 0.220, 0.220)
Tl (0.500, 0.220, 0.780)
Tl (0.500, 0.780, 0.220)
Tl (0.000, 0.346, 0.654)
Tl (0.346, 0.654, 0.654)
K (0.000, 0.000, 0.000)

List of relative energies, unit meV/atom: (P) 157; (Q) 0

(P)
Compound: KMgV
Source: the Alexandria database
Functional: PBE-GGA
Structure: optimized geometry

abc: 7.325 4.533 9.206
angles: 90.00 90.00 90.00
Fractional positions:
K (0.000, 0.250, 0.886)
K (0.000, 0.750, 0.114)
K (0.500, 0.750, 0.386)
K (0.500, 0.250, 0.614)
V (0.000, 0.250, 0.504)
V (0.500, 0.250, 0.996)
V (0.000, 0.750, 0.496)
V (0.500, 0.750, 0.004)
Mg (0.750, 0.250, 0.250)
Mg (0.750, 0.750, 0.750)
Mg (0.250, 0.750, 0.750)
Mg (0.250, 0.250, 0.250)

(Q)
Compound: KMgV
Source: the Alexandria database
Functional: PBE-GGA
Structure: optimized geometry

abc: 13.107 4.608 3.168
angles: 92.04 94.16 74.66
Fractional positions:
Mg (0.775, 0.947, 0.722)
Mg (0.037, 0.995, 0.731)
V (0.857, 0.373, 0.308)
V (0.956, 0.569, 0.147)
K (0.562, 0.602, 0.159)
K (0.250, 0.341, 0.298)

(R)
Compound: KMgV
Source: the Alexandria database
Functional: PBE-GGA
Structure: optimized geometry

abc: 5.647 5.647 3.096
angles: 90.00 90.00 120.00
Fractional positions:
V (0.333, 0.667, 0.000)
Mg (0.000, 0.000, 0.000)
K (0.667, 0.333, 0.500)

(S)
Compound: KMgV
Source: the Alexandria database
Functional: PBE-GGA
Structure: optimized geometry

abc: 15.063 3.318 3.320
angles: 90.02 89.68 90.22
Fractional positions:
V (0.032, 0.751, 0.749)
V (0.968, 0.249, 0.251)
Mg (0.154, 0.253, 0.246)
Mg (0.846, 0.747, 0.754)
K (0.637, 0.243, 0.261)
K (0.363, 0.757, 0.739)

List of relative energies, unit meV/atom: (P) 473; (Q) 92; (R) 599; (S) 0

(P)
Compound: KMgV
Source: the Alexandria database
Functional: PBE-GGA
Structure: optimized geometry

abc: 12.118 4.949 4.945
angles: 59.72 78.04 65.96
Fractional positions:
Mg (0.882, 0.245, 0.486)
Mg (0.930, 0.866, 0.150)
K (0.220, 0.911, 0.484)
K (0.593, 0.201, 0.149)
V (0.989, 0.473, 0.818)
V (0.822, 0.639, 0.818)

(Q)
Compound: KMgV
Source: the Alexandria database
Functional: PBE-GGA
Structure: optimized geometry

abc: 12.563 4.217 4.217
angles: 110.38 104.43 75.57
Fractional positions:
Mg (0.870, 0.104, 0.896)
Mg (0.112, 0.971, 0.029)
K (0.653, 0.711, 0.289)
K (0.328, 0.373, 0.627)
V (0.990, 0.673, 0.327)
V (0.991, 0.402, 0.598)

(R)
Compound: KMgV
Source: the Alexandria database
Functional: PBE-GGA
Structure: optimized geometry

abc: 5.472 5.472 7.852
angles: 90.00 90.00 120.00
Fractional positions:
Mg (0.333, 0.667, 0.685)
Mg (0.333, 0.667, 0.315)
V (0.000, 0.000, 0.616)
V (0.000, 0.000, 0.384)
K (0.667, 0.333, 0.000)
K (0.667, 0.333, 0.500)

(S)
Compound: KMgV
Source: the Alexandria database
Functional: PBE-GGA
Structure: optimized geometry

abc: 5.617 5.617 6.356
angles: 90.00 90.00 120.00
Fractional positions:
Mg (0.333, 0.667, 0.750)
Mg (0.667, 0.333, 0.250)
V (0.333, 0.667, 0.250)
V (0.667, 0.333, 0.750)
K (0.000, 0.000, 0.500)
K (0.000, 0.000, 0.000)

List of relative energies, unit meV/atom: (P) 70; (Q) 0; (R) 397; (S) 533

(P)
Compound: KMgV
Source: the Alexandria database
Functional: PBE-GGA
Structure: optimized geometry

abc: 9.457 7.534 3.062
angles: 79.23 89.54 54.56
Fractional positions:
Mg (0.574, 0.365, 0.233)
Mg (0.238, 0.805, 0.588)
K (0.643, 0.782, 0.355)
K (0.168, 0.387, 0.466)
V (0.928, 0.179, 0.997)
V (0.884, 0.990, 0.822)

(Q)
Compound: KMgV
Source: the Alexandria database
Functional: PBE-GGA
Structure: optimized geometry

abc: 5.860 7.226 4.531
angles: 99.46 97.56 87.45
Fractional positions:
Mg (0.622, 0.098, 0.291)
Mg (0.378, 0.902, 0.709)
V (0.086, 0.003, 0.184)
V (0.914, 0.997, 0.816)
K (0.771, 0.598, 0.224)
K (0.229, 0.402, 0.776)

(R)
Compound: KMgV
Source: the Alexandria database
Functional: PBE-GGA
Structure: optimized geometry

abc: 9.428 6.582 6.155
angles: 90.00 90.00 90.00
Fractional positions:
V (0.262, 0.250, 0.000)
V (0.762, 0.250, 0.500)
V (0.738, 0.750, 0.000)
V (0.238, 0.750, 0.500)
Mg (0.000, 0.500, 0.000)
Mg (0.500, 0.000, 0.500)
Mg (0.500, 0.500, 0.500)
Mg (0.000, 0.000, 0.000)
K (0.132, 0.250, 0.500)
K (0.632, 0.250, 0.000)
K (0.368, 0.750, 0.000)
K (0.868, 0.750, 0.500)

(S)
Compound: KMgV
Source: the Alexandria database
Functional: PBE-GGA
Structure: optimized geometry

abc: 5.628 5.628 6.641
angles: 90.00 90.00 90.00
Fractional positions:
V (0.500, 0.000, 0.497)
V (0.000, 0.500, 0.503)
K (0.500, 0.000, 0.996)
K (0.000, 0.500, 0.004)
Mg (0.000, 0.000, 0.500)
Mg (0.500, 0.500, 0.500)

List of relative energies, unit meV/atom: (P) 0; (Q) 77; (R) 570; (S) 406